Entry 1:
! MnPSe4 PBE relaxed; values from VASP
! E_form (uncorrected)   -253 meV/atom
! Magnetization   4.3 μB per cell
! VASP energy   -5.01 eV/atom
&SYSTEM
  ibrav = 0, nat = 12, ntyp = 3
/
ATOMIC_SPECIES
Se 78.96 Se.upf
P 30.97 P.upf
Mn 54.94 Mn.upf
CELL_PARAMETERS angstrom
-1.305 3.114 -0.964
-3.114 0.335 5.298
11.262 5.959 4.005
ATOMIC_POSITIONS angstrom
Se -1.215 3.868 1.351
Se 5.068 5.291 3.835
P 4.074 3.147 4.651
Se 9.012 6.942 3.832
Se 2.729 5.520 1.347
Mn 4.978 4.537 1.521
P -2.209 1.724 2.167
Mn 0.000 0.000 0.000
Se -2.169 2.466 4.507
Se 4.114 3.888 6.992
Se 8.058 5.540 6.988
Se 1.775 4.117 4.504

=====

Entry 2:
! MnPSe3 PBE relaxed; values from VASP
! E_form (uncorrected)   -261 meV/atom
! Magnetization   9.9 μB per cell
! VASP energy   -5.27 eV/atom
&SYSTEM
  ibrav = 0, nat = 10, ntyp = 3
/
ATOMIC_SPECIES
P 30.97 P.upf
Mn 54.94 Mn.upf
Se 78.96 Se.upf
CELL_PARAMETERS angstrom
8.296 0.134 0.087
5.731 5.999 0.087
5.731 2.506 5.452
ATOMIC_POSITIONS angstrom
P 10.872 4.753 3.095
P 8.887 3.885 2.530
Mn 3.300 1.443 0.940
Se 12.248 3.017 3.249
Mn 16.458 7.196 4.686
Se 10.531 5.779 5.036
Se 8.364 2.493 4.181
Se 7.510 5.622 2.377
Se 9.227 2.859 0.589
Se 11.394 6.146 1.445

=====

Entry 3:
! MnPSe PBE relaxed; values from VASP
! E_form (uncorrected)   -374 meV/atom
! Magnetization   4.0 μB per cell
! VASP energy   -6.40 eV/atom
&SYSTEM
  ibrav = 0, nat = 12, ntyp = 3
/
ATOMIC_SPECIES
P 30.97 P.upf
Mn 54.94 Mn.upf
Se 78.96 Se.upf
CELL_PARAMETERS angstrom
5.839 0.000 0.000
0.000 5.878 -0.403
0.000 -1.981 5.573
ATOMIC_POSITIONS angstrom
P 5.020 3.161 1.592
P 0.819 0.736 3.578
Mn 2.957 3.790 0.861
Se 5.123 -0.796 4.732
P 2.101 1.726 0.792
Mn 0.038 1.097 1.522
Se 2.204 3.702 3.225
P 3.738 2.170 4.378
Mn 2.882 0.106 4.309
Se 0.716 4.692 0.438
Mn 5.801 2.800 3.647
Se 3.635 0.195 1.945

=====

Entry 4:
! Mn4PSe PBE relaxed; values from VASP
! E_form (uncorrected)   504 meV/atom
! Magnetization   9.8 μB per cell
! VASP energy   -7.09 eV/atom
&SYSTEM
  ibrav = 0, nat = 6, ntyp = 3
/
ATOMIC_SPECIES
P 30.97 P.upf
Mn 54.94 Mn.upf
Se 78.96 Se.upf
CELL_PARAMETERS angstrom
0.000 3.473 3.473
3.473 0.000 3.473
3.473 3.473 0.000
ATOMIC_POSITIONS angstrom
P 1.736 1.736 1.736
Mn 4.337 4.337 4.337
Mn 2.608 2.608 4.337
Mn 2.608 4.337 2.608
Se 0.000 0.000 0.000
Mn 4.337 2.608 2.608

=====

Entry 5:
! MnPSe PBE relaxed; values from VASP
! E_form (uncorrected)   18 meV/atom
! Magnetization   2.6 μB per cell
! VASP energy   -6.00 eV/atom
&SYSTEM
  ibrav = 0, nat = 3, ntyp = 3
/
ATOMIC_SPECIES
Se 78.96 Se.upf
P 30.97 P.upf
Mn 54.94 Mn.upf
CELL_PARAMETERS angstrom
-3.273 -2.618 -0.470
-2.149 -1.317 3.382
-3.924 1.388 0.677
ATOMIC_POSITIONS angstrom
Se -4.673 -1.273 1.795
P 0.000 0.000 0.000
Mn -2.337 -0.637 0.897

=====

Entry 6:
! MnPSe PBE relaxed; values from VASP
! E_form (uncorrected)   466 meV/atom
! Magnetization   3.5 μB per cell
! VASP energy   -5.56 eV/atom
&SYSTEM
  ibrav = 0, nat = 3, ntyp = 3
/
ATOMIC_SPECIES
Se 78.96 Se.upf
P 30.97 P.upf
Mn 54.94 Mn.upf
CELL_PARAMETERS angstrom
0.000 3.052 3.052
3.052 0.000 3.052
3.052 3.052 0.000
ATOMIC_POSITIONS angstrom
Se 0.000 0.000 0.000
P 1.526 1.526 1.526
Mn 3.052 3.052 3.052